Below is crystalline Ba2Li5Mg12 at its relaxed geometry, with properties calculated at the GGA-PBE level.

Unit cell a=7.948 b=7.948 c=7.948 alpha=83.82 beta=83.82 gamma=83.82
Fractional coordinates of all 19 atoms:
Ba 0.651 0.651 0.651
Li 0.500 0.000 0.000
Mg 0.139 0.659 0.659
Li 0.000 0.000 0.500
Mg 0.000 0.292 0.708
Mg 0.861 0.341 0.341
Li 0.905 0.905 0.905
Li 0.095 0.095 0.095
Mg 0.292 0.000 0.708
Mg 0.708 0.292 0.000
Mg 0.659 0.139 0.659
Mg 0.659 0.659 0.139
Mg 0.292 0.708 0.000
Ba 0.349 0.349 0.349
Li 0.000 0.500 0.000
Mg 0.000 0.708 0.292
Mg 0.708 0.000 0.292
Mg 0.341 0.341 0.861
Mg 0.341 0.861 0.341

SG = R-3m, No. 166
energy of formation = -97 kJ/mol of formula units